1.
U2Be4Si3Au: optimized geometry, GGA-PBE.

Cell and atoms, written as extended XYZ:
```
10
Lattice="3.892 0.000 0.000 0.000 3.892 0.000 0.000 0.000 9.678" Properties=species:S:1:pos:R:3 pbc="T T T"
U 1.946 0.000 2.314
U 0.000 1.946 7.363
Be 1.946 1.946 0.000
Be 0.000 0.000 0.000
Be 1.946 0.000 6.193
Be 0.000 1.946 3.485
Si 0.000 0.000 4.839
Si 1.946 0.000 8.418
Si 0.000 1.946 1.259
Au 1.946 1.946 4.839
```

The raw formation energy is -0.2026 eV per atom. As for the total energy: -59.053 eV/cell.

---

2.
Sm2Be3Au9: optimized geometry, GGA-PBE.

Cell and atoms, written as extended XYZ:
```
28
Lattice="-0.827 -7.761 0.965 6.986 3.114 -1.829 0.202 5.052 9.148" Properties=species:S:1:pos:R:3 pbc="T T T"
Sm 1.586 1.918 6.761
Sm 4.776 -1.512 1.523
Sm 3.444 -2.098 6.723
Sm 2.917 2.504 1.561
Be -0.413 -3.881 0.482
Be 3.181 0.203 4.142
Be 0.641 -3.597 5.098
Be 5.721 4.002 3.186
Be 2.570 4.789 8.640
Be 3.791 -4.383 -0.356
Au 6.193 3.215 5.511
Au 0.169 -2.810 2.773
Au 4.452 0.754 6.336
Au 1.910 -0.349 1.948
Au 4.234 3.261 7.732
Au 2.128 -2.855 0.552
Au 3.509 2.897 4.522
Au 2.852 -2.492 3.762
Au 0.494 -2.758 7.450
Au 5.868 3.163 0.834
Au 6.993 6.763 6.987
Au -0.631 -6.358 1.297
Au 1.029 -0.815 5.228
Au 5.333 1.221 3.056
Au 5.373 -1.258 4.460
Au 0.988 1.663 3.824
Au 1.687 -0.454 8.739
Au 4.675 0.859 -0.455
```

As for the formation energy: -0.42 eV/atom. As for the total energy: -112.077 eV/cell.

---

3.
SmBeAu3: optimized geometry, GGA-PBE.

Cell and atoms, written as extended XYZ:
```
5
Lattice="4.602 0.000 0.000 0.000 4.602 0.000 0.000 0.000 4.602" Properties=species:S:1:pos:R:3 pbc="T T T"
Be 0.000 0.000 0.000
Au 0.000 2.301 0.000
Au 0.000 0.000 2.301
Au 2.301 0.000 0.000
Sm 2.301 2.301 2.301
```

As for the formation energy: -0.46 eV/atom. As for the total energy: -20.581 eV/cell.

---

4.
SmBe5Au7: optimized geometry, GGA-PBE.

Cell and atoms, written as extended XYZ:
```
13
Lattice="4.661 0.000 1.914 2.330 6.284 0.958 -0.057 0.021 6.770" Properties=species:S:1:pos:R:3 pbc="T T T"
Sm 4.639 0.056 1.965
Be 4.611 6.222 5.273
Be 2.335 6.222 4.338
Be 3.439 3.146 8.127
Be 1.163 3.146 7.192
Be 5.154 4.849 7.342
Au 3.820 2.219 3.960
Au 3.040 4.278 5.859
Au 5.351 2.331 6.864
Au 6.110 4.324 5.015
Au 1.787 1.434 2.279
Au 4.268 4.865 2.870
Au 2.813 1.049 6.411
```

As for the formation energy: -0.27 eV/atom. As for the total energy: -49.853 eV/cell.

---

5.
SmBeAu: optimized geometry, GGA-PBE.

Cell and atoms, written as extended XYZ:
```
12
Lattice="-0.364 2.420 3.634 -7.330 -0.724 -0.252 0.455 -6.017 4.053" Properties=species:S:1:pos:R:3 pbc="T T T"
Sm -5.674 -2.989 2.743
Sm -1.966 -4.402 6.697
Sm -5.273 0.081 0.738
Sm -1.565 -1.331 4.692
Au -6.868 -0.084 3.329
Au -4.258 -2.857 5.438
Au -0.371 -4.237 4.105
Au -2.980 -1.464 1.997
Be -4.363 -0.490 3.851
Be -6.665 -3.748 5.790
Be -0.574 -0.573 1.645
Be -2.876 -3.831 3.584
```

As for the formation energy: -0.45 eV/atom. As for the total energy: -52.344 eV/cell.

---

6.
SmBeAu: optimized geometry, GGA-PBE.

Cell and atoms, written as extended XYZ:
```
3
Lattice="-1.004 -2.905 -2.401 4.092 -0.619 -0.961 -1.756 -2.086 3.258" Properties=species:S:1:pos:R:3 pbc="T T T"
Be 1.976 -1.592 0.045
Au -0.167 -0.484 -0.400
Sm -0.476 -3.534 0.251
```

As for the formation energy: -0.46 eV/atom. As for the total energy: -13.112 eV/cell.

---

7.
SmBeAu3: optimized geometry, GGA-PBE.

Cell and atoms, written as extended XYZ:
```
5
Lattice="-2.059 1.814 3.307 1.892 -2.764 2.690 3.890 2.868 3.621" Properties=species:S:1:pos:R:3 pbc="T T T"
Sm 3.073 2.750 5.149
Be 4.018 -0.404 4.681
Au 2.202 -0.159 6.205
Au 2.286 0.315 3.206
Au -0.220 -0.020 4.629
```

As for the formation energy: -0.55 eV/atom. As for the total energy: -21.006 eV/cell.

---

8.
SmBe2ZnAu5: optimized geometry, GGA-PBE.

Cell and atoms, written as extended XYZ:
```
9
Lattice="4.664 0.000 0.000 0.000 4.664 0.000 0.000 0.000 7.244" Properties=species:S:1:pos:R:3 pbc="T T T"
Sm 0.000 0.000 3.622
Be 2.332 2.332 1.198
Be 2.332 2.332 6.046
Zn 0.000 0.000 0.000
Au 0.000 2.332 1.528
Au 2.332 0.000 1.528
Au 0.000 2.332 5.716
Au 2.332 0.000 5.716
Au 2.332 2.332 3.622
```

As for the formation energy: -0.28 eV/atom. As for the total energy: -32.349 eV/cell.

---

Q: Number 5 is which compound?
A: SmBeAu

---

Repeat the fourth record exactly.
SmBe5Au7: optimized geometry, GGA-PBE.

Cell and atoms, written as extended XYZ:
```
13
Lattice="4.661 0.000 1.914 2.330 6.284 0.958 -0.057 0.021 6.770" Properties=species:S:1:pos:R:3 pbc="T T T"
Sm 4.639 0.056 1.965
Be 4.611 6.222 5.273
Be 2.335 6.222 4.338
Be 3.439 3.146 8.127
Be 1.163 3.146 7.192
Be 5.154 4.849 7.342
Au 3.820 2.219 3.960
Au 3.040 4.278 5.859
Au 5.351 2.331 6.864
Au 6.110 4.324 5.015
Au 1.787 1.434 2.279
Au 4.268 4.865 2.870
Au 2.813 1.049 6.411
```

As for the formation energy: -0.27 eV/atom. As for the total energy: -49.853 eV/cell.